(1)
Cs2KBeIn, PBEsol geometry, DFT SCAN; calculated formation energy = 656 meV per atom
1.0
6.2492 0.0000 0.0000
0.0000 6.6741 0.0000
0.0000 0.0000 6.6741
Cs Be K In
2 1 1 1
direct
0.0000 0.0000 0.5000
0.0000 0.5000 0.0000
0.0000 0.0000 0.0000
0.5000 0.0000 0.0000
0.5000 0.5000 0.5000

(2)
CsBe2SbIr, PBEsol geometry, DFT SCAN; raw formation energy = 1.1323 eV per atom
1.0
4.8727 0.0000 0.0000
0.0000 4.8727 0.0000
0.0000 0.0000 5.0607
Cs Sb Ir Be
1 1 1 2
direct
0.5000 0.5000 0.5000
0.0000 0.0000 0.0000
0.0000 0.0000 0.5000
0.0000 0.5000 0.0000
0.5000 0.0000 0.0000

(3)
CsLa2Be, PBEsol geometry, DFT SCAN; calculated formation energy = 699 meV per atom
1.0
6.9525 -0.0117 0.0000
-3.4057 6.0612 0.0000
-1.7734 -3.0247 6.0036
Cs Be La
2 2 4
direct
0.0000 0.0000 0.0000
0.2500 0.7500 0.5000
0.5000 0.5000 0.0000
0.7500 0.2500 0.5000
0.8340 0.8750 0.4590
0.4160 0.3750 0.5410
0.1250 0.5840 0.9590
0.6250 0.1660 0.0410

Number 1: energy -23.68 eV per atom. Number 2: energy -29.84 eV per atom. Number 3: energy -31.39 eV per atom.